# 1
Entry from Alexandria: a relaxed structure of Ce2Ga4Tc (PBE).

abc: 4.946 19.185 2.860
angles: 90.00 90.00 90.00
Space group Cmmm (No. 65)
Symmetry-distinct sites (fractional):
1 Ce 0.000 0.220 0.000 x4
2 Ga 0.000 0.068 0.500 x4
3 Ga 0.000 0.383 0.000 x4
4 Tc 0.000 0.500 0.500 x2

Summary:
As for the energy relative to the elements: 0.11 eV/f.u.

=====

# 2
Entry from Alexandria: a relaxed structure of Ce8Ga2Tc (PBE).

abc: 16.905 5.063 6.671
angles: 90.00 111.03 90.00
Space group C2/m (No. 12)
Symmetry-distinct sites (fractional):
1 Ce 0.005 0.000 0.300 x4
2 Ce 0.106 0.500 0.401 x4
3 Ce 0.148 0.500 0.893 x4
4 Ce 0.195 0.000 0.168 x4
5 Ga 0.192 0.000 0.668 x4
6 Tc 0.000 0.500 0.000 x2

Summary:
As for the energy relative to the elements: -2.28 eV/f.u.